Ba6AsSe2I3: relaxed, PBE.

Cell: 8.3157 14.3894 8.6619 Å, 90.00 108.63 90.00°
Last column: nearest neighbours and their distance in Å.
Space group C2/m (No. 12)
Unique sites:
Ba 0.2350 0.1644 0.2120 (multiplicity 8)  1 As 3.24, 2 Se 3.29, 2 I 3.63
Ba 0.2424 0.5000 0.2130 (multiplicity 4)  1 As 3.24, 2 Se 3.29, 2 I 3.63
As 0.0000 0.0000 0.0000 (multiplicity 2)  6 Ba 3.24
Se 0.0000 0.3336 0.0000 (multiplicity 4)  6 Ba 3.29
I 0.0000 0.1677 0.5000 (multiplicity 4)  6 Ba 3.63-3.66
I 0.0000 0.5000 0.5000 (multiplicity 2)  6 Ba 3.63-3.67

Output
- energy relative to the elements, uncorrected (meV per atom) = -1644



Th6TlCo: relaxed, PBE.

Cell: 8.1042 9.9384 6.4311 Å, 90.00 108.48 90.00°
Last column: nearest neighbours and their distance in Å.
Space group C2/m (No. 12)
Unique sites:
Th 0.1010 0.1943 0.2942 (multiplicity 8)  1 Co 2.65
Th 0.2049 0.5000 0.0937 (multiplicity 4)  1 Co 2.65
Tl 0.0000 0.5000 0.5000 (multiplicity 2)  12 Th 3.51-3.65
Co 0.0000 0.0000 0.0000 (multiplicity 2)  6 Th 2.65

Output
- formation enthalpy at 0 K (meV/atom) = 34



MnNi6Pd12: relaxed, PBE.

Cell: 8.2395 8.2395 8.2395 Å, 90.00 90.00 90.00°
Last column: nearest neighbours and their distance in Å.
Space group Im-3 (No. 204)
Unique sites:
Mn 0.0000 0.0000 0.0000 (multiplicity 2)  12 Pd 2.69
Ni 0.0000 0.1365 0.5000 (multiplicity 12)  1 Ni 2.25, 2 Pd 2.41
Pd 0.0000 0.2715 0.1809 (multiplicity 24)  3 Ni 2.41-2.65, 1 Mn 2.69

Output
- formation enthalpy at 0 K (meV/atom) = 137



RbNbCuF2: relaxed, PBE.

Cell: 4.4046 4.4046 5.2791 Å, 90.00 90.00 90.00°
Last column: nearest neighbours and their distance in Å.
Space group P4/mmm (No. 123)
Unique sites:
Rb 0.0000 0.0000 0.0000 (multiplicity 1)  4 Cu 3.11, 8 F 3.44
Nb 0.5000 0.5000 0.5000 (multiplicity 1)  4 F 2.20
Cu 0.5000 0.5000 0.0000 (multiplicity 1)  2 Nb 2.64
F 0.0000 0.5000 0.5000 (multiplicity 2)  2 Nb 2.20

Output
- energy relative to the elements, uncorrected (meV per atom) = -1066
- ΔE to the lowest computed polymorph (eV per formula unit) = 0.000



Dy5PbAu4: relaxed, PBE.

Cell: 3.5530 3.5530 19.2609 Å, 90.00 90.00 90.00°
Last column: nearest neighbours and their distance in Å.
Space group P4/mmm (No. 123)
Unique sites:
Dy 0.0000 0.0000 0.0000 (multiplicity 1)  8 Au 3.12
Dy 0.0000 0.0000 0.1904 (multiplicity 2)  8 Au 3.10-3.12
Dy 0.0000 0.0000 0.3808 (multiplicity 2)  4 Au 3.10, 4 Pb 3.40
Pb 0.5000 0.5000 0.5000 (multiplicity 1)  8 Dy 3.40, 4 Pb 3.55
Au 0.5000 0.5000 0.0960 (multiplicity 2)  8 Dy 3.10-3.12
Au 0.5000 0.5000 0.2861 (multiplicity 2)  8 Dy 3.10-3.12

Output
- formation enthalpy at 0 K (meV/atom) = -775



TaSbMo3: relaxed, PBE.

Cell: 4.8253 4.8253 4.8253 Å, 90.00 90.00 90.00°
Last column: nearest neighbours and their distance in Å.
Space group Pm-3m (No. 221)
Unique sites:
Ta 0.0000 0.0000 0.0000 (multiplicity 1)  6 Mo 2.41
Sb 0.5000 0.5000 0.5000 (multiplicity 1)  12 Mo 3.41
Mo 0.0000 0.0000 0.5000 (multiplicity 3)  2 Ta 2.41

Output
- energy relative to the elements, uncorrected (meV per atom) = 1702
- ΔE to the lowest computed polymorph (eV per formula unit) = 0.000



| no. | DOS at the Fermi energy (states/eV per atom) | spin magnetization (μB per atom) |
| --- | --- | --- |
| 1 | 0.350 | 0.000 |
| 2 | 1.337 | 0.000 |
| 3 | 1.566 | 0.659 |
| 4 | 0.568 | 0.514 |
| 5 | 0.499 | 0.000 |
| 6 | 1.169 | 0.480 |